VASP calculation (PBE) on a relaxed GdIrPd crystal.

Lattice parameters (Å, degrees): 6.431 6.431 6.431 90.00 90.00 90.00
Space group F-43m (No. 216)
Symmetry-distinct sites (fractional):
Gd1 0.000 0.000 0.000
Ir1 0.250 0.250 0.750
Pd1 0.000 0.000 0.500

Values from the calculation:
As for the crystal system: cubic. Its total energy is -6.450 eV/atom. For the polymorph energy (0 for the lowest one), the calculation gives 0 meV per atom. The formation energy comes out at -222 meV per atom.